(1)
# CaInPb2 PBE optimized geometry
# **Energy of formation from the pure elements**: -292 meV per atom
# **DOS at the Fermi energy**: 1.622 states/eV/f.u.
data_CaInPb2
_symmetry_space_group_name_H-M 'I 4/m m m'
_symmetry_Int_Tables_number 139
_symmetry_space_group_name_Hall '-I 4 2'
_cell_length_a 4.830
_cell_length_b 4.830
_cell_length_c 10.041
_cell_angle_alpha 90.00
_cell_angle_beta 90.00
_cell_angle_gamma 90.00
loop_
_atom_site_label
_atom_site_type_symbol
_atom_site_fract_x
_atom_site_fract_y
_atom_site_fract_z
Ca1 Ca 0.000 0.000 0.000
In1 In 0.000 0.000 0.500
Pb1 Pb 0.000 0.500 0.250

=====

(2)
# PuPaAu PBE optimized geometry
# **Energy of formation from the pure elements**: -177 meV per atom
# **DOS at the Fermi energy**: 5.149 states/eV/f.u.
# **Excess energy over the best structure of this formula in the dataset**: 0.30 kcal/mol of atoms
data_PuPaAu
_symmetry_space_group_name_H-M 'C 1 2/m 1'
_symmetry_Int_Tables_number 12
_cell_length_a 10.441
_cell_length_b 4.022
_cell_length_c 6.850
_cell_angle_alpha 90.00
_cell_angle_beta 112.39
_cell_angle_gamma 90.00
loop_
_symmetry_equiv_pos_as_xyz
'x,y,z'
'-x,-y,-z'
'-x,y,-z'
'x,-y,z'
'x+1/2,y+1/2,z'
'-x+1/2,-y+1/2,-z'
'-x+1/2,y+1/2,-z'
'x+1/2,-y+1/2,z'
loop_
_atom_site_label
_atom_site_type_symbol
_atom_site_fract_x
_atom_site_fract_y
_atom_site_fract_z
Pu1 Pu 0.154 0.000 0.041
Pa1 Pa 0.005 0.500 0.753
Au1 Au 0.178 0.000 0.586

=====

(3)
# LiTc2Ni PBE optimized geometry
# **Energy of formation from the pure elements**: 191 meV per atom
# **DOS at the Fermi energy**: 3.742 states/eV/f.u.
# **Excess energy over the best structure of this formula in the dataset**: 1.88 kcal/mol of atoms
data_LiTc2Ni
_symmetry_space_group_name_H-M 'C m m 2'
_symmetry_Int_Tables_number 35
_cell_length_a 2.946
_cell_length_b 4.306
_cell_length_c 8.681
_cell_angle_alpha 90.00
_cell_angle_beta 90.00
_cell_angle_gamma 90.00
loop_
_symmetry_equiv_pos_as_xyz
'x,y,z'
'-x,-y,z'
'-x,y,z'
'x,-y,z'
'x+1/2,y+1/2,z'
'-x+1/2,-y+1/2,z'
'-x+1/2,y+1/2,z'
'x+1/2,-y+1/2,z'
loop_
_atom_site_label
_atom_site_type_symbol
_atom_site_fract_x
_atom_site_fract_y
_atom_site_fract_z
Li1 Li 0.000 0.000 0.000
Tc1 Tc 0.000 0.000 0.524
Tc2 Tc 0.000 0.500 0.270
Ni1 Ni 0.000 0.500 0.761

=====

(4)
# ThMgAgPd PBE optimized geometry
# **Energy of formation from the pure elements**: -417 meV per atom
# **DOS at the Fermi energy**: 2.474 states/eV/f.u.
data_ThMgAgPd
_symmetry_space_group_name_H-M 'F -4 3 m'
_symmetry_Int_Tables_number 216
_symmetry_space_group_name_Hall 'F -4 2 3'
_cell_length_a 7.060
_cell_length_b 7.060
_cell_length_c 7.060
_cell_angle_alpha 90.00
_cell_angle_beta 90.00
_cell_angle_gamma 90.00
loop_
_atom_site_label
_atom_site_type_symbol
_atom_site_fract_x
_atom_site_fract_y
_atom_site_fract_z
Th1 Th 0.000 0.000 0.000
Mg1 Mg 0.000 0.000 0.500
Ag1 Ag 0.250 0.250 0.750
Pd1 Pd 0.250 0.250 0.250

=====

For the records above, the corresponding total moment values read 0.00 21.48 0.00 0.00 μB per cell.
For the records above, the corresponding uncorrected energy values read -3.331 -9.212 -6.915 -4.682 eV per atom.